# CaTeP (GGA-PBE, optimized geometry)
data_CaTeP
_chemical_formula_sum 'Ca2 Te2 P2'
_cell_length_a 3.198
_cell_length_b 3.198
_cell_length_c 15.631
_cell_angle_alpha 90.00
_cell_angle_beta 90.00
_cell_angle_gamma 90.00
_symmetry_space_group_name_H-M 'I 4 m m'
_symmetry_Int_Tables_number 107
_symmetry_space_group_name_Hall 'I 4 -2'
loop_
_atom_site_label
_atom_site_fract_x
_atom_site_fract_y
_atom_site_fract_z
_atom_site_occupancy
Ca1 0.000 0.000 0.000 1
Te1 0.000 0.000 0.341 1
P1 0.000 0.000 0.623 1
# E (eV for the cell shown): -22.49
# Crystal system: tetragonal